No. 1
VASP calculation (PBE-GGA) on an optimized crystal structure of TmN4.

Properties
- formation energy from raw total energies (eV/atom) = 2.521
- magnetic moment (μB/f.u.) = 9.0

Geometry as CIF:
```
data_TmN4
_chemical_formula_sum 'Tm1 N4'
_cell_length_a 4.684
_cell_length_b 4.684
_cell_length_c 4.684
_cell_angle_alpha 90.00
_cell_angle_beta 90.00
_cell_angle_gamma 90.00
_symmetry_space_group_name_H-M 'P 1'
_symmetry_Int_Tables_number 1
loop_
_symmetry_equiv_pos_as_xyz
'x,y,z'
loop_
_atom_site_label
_atom_site_type_symbol
_atom_site_fract_x
_atom_site_fract_y
_atom_site_fract_z
Tm1 Tm 0.000 0.000 0.000
N1 N 0.000 0.000 0.500
N2 N 0.000 0.500 0.000
N3 N 0.500 0.000 0.000
N4 N 0.500 0.500 0.500
```


No. 2
VASP calculation (PBE-GGA) on an optimized crystal structure of TeOsBr2.

Properties
- formation energy from raw total energies (eV/atom) = 0.628
- magnetic moment (μB/f.u.) = 0.0

Geometry as CIF:
```
data_TeOsBr2
_chemical_formula_sum 'Te1 Os1 Br2'
_cell_length_a 3.256
_cell_length_b 3.256
_cell_length_c 11.332
_cell_angle_alpha 90.00
_cell_angle_beta 90.00
_cell_angle_gamma 123.33
_symmetry_space_group_name_H-M 'P 1'
_symmetry_Int_Tables_number 1
loop_
_symmetry_equiv_pos_as_xyz
'x,y,z'
loop_
_atom_site_label
_atom_site_type_symbol
_atom_site_fract_x
_atom_site_fract_y
_atom_site_fract_z
Te1 Te 0.000 0.000 0.000
Os1 Os 0.500 0.500 0.191
Br1 Br 0.000 0.000 0.373
Br2 Br 0.500 0.500 0.697
```


What did the first record say?
VASP calculation (PBE-GGA) on an optimized crystal structure of TmN4.

Properties
- formation energy from raw total energies (eV/atom) = 2.521
- magnetic moment (μB/f.u.) = 9.0

Geometry as CIF:
```
data_TmN4
_chemical_formula_sum 'Tm1 N4'
_cell_length_a 4.684
_cell_length_b 4.684
_cell_length_c 4.684
_cell_angle_alpha 90.00
_cell_angle_beta 90.00
_cell_angle_gamma 90.00
_symmetry_space_group_name_H-M 'P 1'
_symmetry_Int_Tables_number 1
loop_
_symmetry_equiv_pos_as_xyz
'x,y,z'
loop_
_atom_site_label
_atom_site_type_symbol
_atom_site_fract_x
_atom_site_fract_y
_atom_site_fract_z
Tm1 Tm 0.000 0.000 0.000
N1 N 0.000 0.000 0.500
N2 N 0.000 0.500 0.000
N3 N 0.500 0.000 0.000
N4 N 0.500 0.500 0.500
```


Which formula does entry 1 have? TmN4


Which of these has the lowest magnetic moment? TeOsBr2


Which value of magnetic moment does entry 1 give? 9.0 μB/f.u.